Entry 1:
# Li2TaOs PBE-GGA optimized geometry
# calculated formation energy = 0.7 eV per formula unit
# energy relative to the lowest polymorph listed for this composition = 45 meV per atom
data_Li2TaOs
_chemical_formula_sum 'Li4 Ta2 Os2'
_space_group_name_H-M_alt 'C m m 2'
_space_group_IT_number 35
_cell_length_a 3.002
_cell_length_b 4.640
_cell_length_c 9.506
_cell_angle_alpha 90.00
_cell_angle_beta 90.00
_cell_angle_gamma 90.00
loop_
_space_group_symop_operation_xyz
'x,y,z'
'-x,-y,z'
'-x,y,z'
'x,-y,z'
'x+1/2,y+1/2,z'
'-x+1/2,-y+1/2,z'
'-x+1/2,y+1/2,z'
'x+1/2,-y+1/2,z'
loop_
_atom_site_label
_atom_site_type_symbol
_atom_site_fract_x
_atom_site_fract_y
_atom_site_fract_z
_atom_site_occupancy
Li1 Li 0.000 0.000 0.000 1
Li2 Li 0.000 0.500 0.276 1
Ta1 Ta 0.000 0.000 0.541 1
Os1 Os 0.000 0.500 0.772 1

Entry 2:
# Hg2PtSe PBE-GGA optimized geometry
# ΔE_f (raw) = 0.093 eV per atom
# energy relative to the lowest polymorph listed for this composition = 142 meV per atom
data_Hg2PtSe
_chemical_formula_sum 'Hg2 Pt1 Se1'
_space_group_name_H-M_alt 'P m m m'
_space_group_IT_number 47
_cell_length_a 2.946
_cell_length_b 3.743
_cell_length_c 7.727
_cell_angle_alpha 90.00
_cell_angle_beta 90.00
_cell_angle_gamma 90.00
loop_
_space_group_symop_operation_xyz
'x,y,z'
'-x,-y,-z'
'-x,-y,z'
'x,y,-z'
'x,-y,-z'
'-x,y,z'
'-x,y,-z'
'x,-y,z'
loop_
_atom_site_label
_atom_site_type_symbol
_atom_site_fract_x
_atom_site_fract_y
_atom_site_fract_z
_atom_site_occupancy
Hg1 Hg 0.000 0.000 0.217 1
Pt1 Pt 0.500 0.500 0.000 1
Se1 Se 0.000 0.500 0.500 1

Entry 3:
# DyHfIrRh PBE-GGA optimized geometry
# calculated formation energy = -3.4 eV per formula unit
# energy relative to the lowest polymorph listed for this composition = 45 meV per atom
data_DyHfIrRh
_chemical_formula_sum 'Dy4 Hf4 Ir4 Rh4'
_space_group_name_H-M_alt 'F -4 3 m'
_space_group_IT_number 216
_space_group_name_Hall 'F -4 2 3'
_cell_length_a 6.695
_cell_length_b 6.695
_cell_length_c 6.695
_cell_angle_alpha 90.00
_cell_angle_beta 90.00
_cell_angle_gamma 90.00
loop_
_atom_site_label
_atom_site_type_symbol
_atom_site_fract_x
_atom_site_fract_y
_atom_site_fract_z
_atom_site_occupancy
Dy1 Dy 0.000 0.000 0.000 1
Hf1 Hf 0.000 0.000 0.500 1
Ir1 Ir 0.250 0.250 0.750 1
Rh1 Rh 0.250 0.250 0.250 1

Entry 4:
# Nd12Tl6Co PBE-GGA optimized geometry
# calculated formation energy = -3.0 eV per formula unit
data_Nd12Tl6Co
_chemical_formula_sum 'Nd36 Tl18 Co3'
_space_group_name_H-M_alt 'R -3'
_space_group_IT_number 148
_space_group_name_Hall '-R 3'
_cell_length_a 12.5249
_cell_length_b 12.5249
_cell_length_c 13.6420
_cell_angle_alpha 90.00
_cell_angle_beta 90.00
_cell_angle_gamma 120.00
loop_
_atom_site_label
_atom_site_type_symbol
_atom_site_fract_x
_atom_site_fract_y
_atom_site_fract_z
_atom_site_occupancy
Nd1 Nd 0.0359 0.1893 0.3884 1
Nd2 Nd 0.0423 0.8544 0.8768 1
Tl1 Tl 0.0064 0.4003 0.2596 1
Co1 Co 0.0000 0.0000 0.0000 1

Number 1: VASP energy -6.5526 eV/atom, total magnetic moment 0.00 μB per atom. Number 2: VASP energy -2.4390 eV/atom, total magnetic moment 0.00 μB per atom. Number 3: VASP energy -8.5466 eV/atom, total magnetic moment 0.00 μB per atom. Number 4: VASP energy -4.2909 eV/atom, total magnetic moment 0.00 μB per atom.